# 1
The following is a DFT calculation (PBE) of Ac12ThRh7 after structural relaxation.

a b c (Å): 9.5110 9.5110 9.5110
angles (deg): 107.22 107.22 107.22
Sites, in units of the cell vectors:
1 Ac 0.9250 0.3127 0.7791
2 Ac 0.6873 0.2209 0.0750
3 Ac 0.4511 0.1557 0.3741
4 Ac 0.8443 0.6259 0.5489
5 Ac 0.2209 0.0750 0.6873
6 Ac 0.6259 0.5489 0.8443
7 Ac 0.3741 0.4511 0.1557
8 Ac 0.7791 0.9250 0.3127
9 Ac 0.1557 0.3741 0.4511
10 Ac 0.5489 0.8443 0.6259
11 Ac 0.3127 0.7791 0.9250
12 Ac 0.0750 0.6873 0.2209
13 Th 0.0000 0.0000 0.0000
14 Rh 0.9722 0.6599 0.8859
15 Rh 0.3401 0.1141 0.0278
16 Rh 0.1141 0.0278 0.3401
17 Rh 0.5000 0.5000 0.5000
18 Rh 0.8859 0.9722 0.6599
19 Rh 0.6599 0.8859 0.9722
20 Rh 0.0278 0.3401 0.1141

DFT formation energy, eV/atom: -0.573
Magnetization, μB per atom: 0.000
ρ, g/cm³: 8.57

---

# 2
The following is a DFT calculation (PBE) of Ac3ThRh8 after structural relaxation.

a b c (Å): 5.5200 5.5200 9.5493
angles (deg): 73.20 73.20 60.00
Sites, in units of the cell vectors:
1 Ac 0.3749 0.3749 0.8753
2 Ac 0.0000 0.0000 0.0001
3 Ac 0.4998 0.4998 0.5007
4 Th 0.8747 0.8747 0.3758
5 Rh 0.9339 0.4364 0.1933
6 Rh 0.4423 0.9382 0.6813
7 Rh 0.4364 0.4364 0.1933
8 Rh 0.9382 0.9382 0.6813
9 Rh 0.1878 0.1878 0.4366
10 Rh 0.6875 0.6875 0.9374
11 Rh 0.4364 0.9339 0.1933
12 Rh 0.9382 0.4423 0.6813

DFT formation energy, eV/atom: -0.615
Magnetization, μB per atom: 0.000
ρ, g/cm³: 12.14

---

# 3
The following is a DFT calculation (PBE) of Ac4ThRh4 after structural relaxation.

a b c (Å): 4.2762 7.3545 9.4460
angles (deg): 75.12 76.92 73.10
Sites, in units of the cell vectors:
1 Ac 0.7000 0.4090 0.1910
2 Ac 0.8913 0.8248 0.3925
3 Ac 0.3000 0.5910 0.8090
4 Ac 0.1087 0.1752 0.6075
5 Th 0.5000 0.0000 0.0000
6 Rh 0.2973 0.1129 0.2924
7 Rh 0.7027 0.8871 0.7076
8 Rh 0.9122 0.2755 0.9002
9 Rh 0.0878 0.7245 0.0998

DFT formation energy, eV/atom: -0.692
Magnetization, μB per atom: 0.000
ρ, g/cm³: 9.51

---

# 4
The following is a DFT calculation (PBE) of AcTh2Rh after structural relaxation.

a b c (Å): 4.0122 4.0122 9.7658
angles (deg): 78.17 78.17 60.04
Sites, in units of the cell vectors:
1 Ac 0.4997 0.4997 0.4998
2 Th 0.0590 0.0590 0.8241
3 Th 0.2751 0.2751 0.1746
4 Rh 0.6662 0.6662 0.0015

DFT formation energy, eV/atom: -0.330
Relative energy among the computed polymorphs, meV/atom: 0
Magnetization, μB per atom: 0.000
ρ, g/cm³: 9.96

---

# 5
The following is a DFT calculation (PBE) of AcTh2Rh after structural relaxation.

a b c (Å): 3.9080 3.9080 10.8815
angles (deg): 79.66 79.66 60.00
Sites, in units of the cell vectors:
1 Ac 0.0000 0.0000 0.0000
2 Rh 0.5000 0.5000 0.5000
3 Th 0.1134 0.1134 0.6597
4 Th 0.8866 0.8866 0.3403

DFT formation energy, eV/atom: -0.140
Relative energy among the computed polymorphs, meV/atom: 190
Magnetization, μB per atom: 0.000
ρ, g/cm³: 9.36

---

# 6
The following is a DFT calculation (PBE) of Ac2Th3Rh2 after structural relaxation.

a b c (Å): 3.9346 6.5153 9.3253
angles (deg): 70.16 77.82 72.43
Sites, in units of the cell vectors:
1 Ac 0.1634 0.4670 0.2063
2 Ac 0.8366 0.5330 0.7937
3 Th 0.5000 0.0000 0.0000
4 Th 0.3787 0.8086 0.4340
5 Th 0.6213 0.1914 0.5660
6 Rh 0.1255 0.9661 0.7828
7 Rh 0.8745 0.0339 0.2172

DFT formation energy, eV/atom: -0.501
Magnetization, μB per atom: 0.000
ρ, g/cm³: 10.58

---

# 7
The following is a DFT calculation (PBE) of AcThRh4 after structural relaxation.

a b c (Å): 5.4824 5.4824 5.4824
angles (deg): 60.00 60.00 60.00
Sites, in units of the cell vectors:
1 Ac 0.0000 0.0000 0.0000
2 Rh 0.6247 0.6247 0.1260
3 Rh 0.6247 0.1260 0.6247
4 Rh 0.6247 0.6247 0.6247
5 Rh 0.1260 0.6247 0.6247
6 Th 0.2500 0.2500 0.2500

DFT formation energy, eV/atom: -0.646
Magnetization, μB per atom: 0.000
ρ, g/cm³: 12.41

---

# 8
The following is a DFT calculation (PBE) of AcTh2Rh after structural relaxation.

a b c (Å): 3.6829 3.6829 8.7854
angles (deg): 90.00 90.00 90.00
Sites, in units of the cell vectors:
1 Ac 0.5000 0.5000 0.5000
2 Rh 0.5000 0.5000 0.0000
3 Th 0.0000 0.0000 0.8131
4 Th 0.0000 0.0000 0.1869

DFT formation energy, eV/atom: -0.283
Relative energy among the computed polymorphs, meV/atom: 47
Magnetization, μB per atom: 0.000
ρ, g/cm³: 11.06

---

Question: Which formula does entry 3 have?
Answer: Ac4ThRh4

---

Question: Which value of magnetization does entry 6 give?
Answer: 0.000 μB per atom